SmPaFe2O8: relaxed, PBE with a Hubbard U.

Cell: 6.0414 6.0414 6.0414 Å, 107.55 107.55 113.39°
With the nearest neighbours (Å) after each atom.
Fractional coordinates of all 12 atoms:
Sm (0.0000, 0.0000, 0.0000)  8 O 2.37-2.48
Pa (0.2500, 0.7500, 0.5000)  8 O 2.20-2.43
Fe (0.5000, 0.5000, 0.0000)  4 O 1.90
Fe (0.7500, 0.2500, 0.5000)  4 O 1.75
O (0.3074, 0.1109, 0.8035)  1 Fe 1.90
O (0.3074, 0.5038, 0.1965)  1 Fe 1.90
O (0.3904, 0.0644, 0.3260)  1 Fe 1.75
O (0.4962, 0.6926, 0.8035)  1 Fe 1.90
O (0.7384, 0.0644, 0.6740)  1 Fe 1.75
O (0.8891, 0.6926, 0.1965)  1 Fe 1.90
O (0.9356, 0.2616, 0.3260)  1 Fe 1.75
O (0.9356, 0.6096, 0.6740)  1 Fe 1.75

Summary:
* total DFT energy (no corrections): -92.18 eV/cell
* total moment: 8.0 μB/f.u.